P.
Below is crystalline ZnBiPO2 at its relaxed geometry, with properties calculated at the PBE level.

It has space group P4/mmm (No. 123), with a = 4.1208 Å, b = 4.1208 Å, c = 5.6062 Å, α = 90.00°, β = 90.00° and γ = 90.00°. The distinct sites, in fractional coordinates, are Zn at (0.0000, 0.0000, 0.0000), Bi at (0.5000, 0.5000, 0.5000), P at (0.5000, 0.5000, 0.0000) and O at (0.0000, 0.5000, 0.5000).

The calculation puts the volume at 95.2 Å³ per cell. For the mass density, the calculation gives 5.9 g cm⁻³. The value obtained for the density of states at the Fermi level is 0.3186 states/eV/atom.


Q.
Below is crystalline ZnBiPO2 at its relaxed geometry, with properties calculated at the PBE level.

It has space group P4/mmm (No. 123), with a = 4.0119 Å, b = 4.0119 Å, c = 4.7343 Å, α = 90.00°, β = 90.00° and γ = 90.00°. The distinct sites, in fractional coordinates, are Zn at (0.0000, 0.0000, 0.0000), Bi at (0.5000, 0.5000, 0.5000), P at (0.0000, 0.0000, 0.5000) and O at (0.0000, 0.5000, 0.0000).

The calculation puts the volume at 76.2 Å³ per cell. For the mass density, the calculation gives 7.4 g cm⁻³. The value obtained for the density of states at the Fermi level is 0.7880 states/eV/atom.


Least stable: P